Entry 1:
Material: La4TmTh3As8
Method: DFT, GGA-PBE
State: optimized geometry

a b c (Å): 8.598 8.598 8.598
angles (deg): 59.74 59.74 59.74
Fractional positions:
La 0.000 0.000 0.000
La 0.000 0.500 0.500
La 0.500 0.000 0.500
La 0.500 0.500 0.000
Tm 0.500 0.500 0.500
Th 0.000 0.000 0.500
Th 0.000 0.500 0.000
Th 0.500 0.000 0.000
As 0.247 0.247 0.247
As 0.250 0.744 0.744
As 0.256 0.256 0.750
As 0.256 0.750 0.256
As 0.744 0.250 0.744
As 0.744 0.744 0.250
As 0.750 0.256 0.256
As 0.753 0.753 0.753

Values from the calculation:
E	-107.9	eV/cell
energy relative to the elements	-1.516	eV/atom
volume	27.92	A^3/atom
DOS(E_F)	0.315	states/eV per atom


Entry 2:
Material: LaTmTh2As4
Method: DFT, GGA-PBE
State: optimized geometry

a b c (Å): 7.323 4.246 7.351
angles (deg): 90.00 109.60 90.00
Fractional positions:
La 0.000 0.000 0.000
Tm 0.000 0.500 0.500
Th 0.500 0.000 0.500
Th 0.500 0.500 0.000
As 0.245 0.000 0.741
As 0.251 0.500 0.258
As 0.749 0.500 0.742
As 0.755 0.000 0.259

Values from the calculation:
E	-54.5	eV/cell
energy relative to the elements	-1.457	eV/atom
volume	26.91	A^3/atom
DOS(E_F)	0.506	states/eV per atom


Entry 3:
Material: La2Tm3ThAs6
Method: DFT, GGA-PBE
State: optimized geometry

a b c (Å): 9.366 9.366 8.386
angles (deg): 102.50 102.50 25.95
Fractional positions:
La 0.167 0.167 0.335
La 0.833 0.833 0.665
Tm 0.168 0.168 0.833
Tm 0.500 0.500 0.500
Tm 0.832 0.832 0.167
Th 0.500 0.500 0.000
As 0.004 0.004 0.746
As 0.332 0.332 0.927
As 0.338 0.338 0.406
As 0.662 0.662 0.594
As 0.668 0.668 0.073
As 0.996 0.996 0.254

Values from the calculation:
E	-76.7	eV/cell
energy relative to the elements	-1.512	eV/atom
volume	26.15	A^3/atom
DOS(E_F)	0.158	states/eV per atom


Question: Which formula does entry 2 have?
Answer: LaTmTh2As4


Question: The lowest E belongs to which entry?
Answer: La4TmTh3As8


Question: The lowest energy relative to the elements belongs to which entry?
Answer: La4TmTh3As8


Repeat the third record exactly.
Material: La2Tm3ThAs6
Method: DFT, GGA-PBE
State: optimized geometry

a b c (Å): 9.366 9.366 8.386
angles (deg): 102.50 102.50 25.95
Fractional positions:
La 0.167 0.167 0.335
La 0.833 0.833 0.665
Tm 0.168 0.168 0.833
Tm 0.500 0.500 0.500
Tm 0.832 0.832 0.167
Th 0.500 0.500 0.000
As 0.004 0.004 0.746
As 0.332 0.332 0.927
As 0.338 0.338 0.406
As 0.662 0.662 0.594
As 0.668 0.668 0.073
As 0.996 0.996 0.254

Values from the calculation:
E	-76.7	eV/cell
energy relative to the elements	-1.512	eV/atom
volume	26.15	A^3/atom
DOS(E_F)	0.158	states/eV per atom